ZnGeSb | PBE-GGA | optimized geometry

Output
SG	F-43m, No. 216
distance to the lowest polymorph of the same formula	28.3	meV/atom
total energy	-3.02	eV/atom

Structure (CIF):
```
data_ZnGeSb
_space_group_name_H-M_alt 'P 1'
_space_group_IT_number 1
_space_group_name_Hall 'P 1'
_cell_length_a 4.783
_cell_length_b 4.783
_cell_length_c 4.783
_cell_angle_alpha 60.00
_cell_angle_beta 60.00
_cell_angle_gamma 60.00
loop_
_atom_site_label
_atom_site_type_symbol
_atom_site_fract_x
_atom_site_fract_y
_atom_site_fract_z
_atom_site_occupancy
Zn1 Zn 0.000 0.000 0.000 1
Ge1 Ge 0.500 0.500 0.500 1
Sb1 Sb 0.250 0.250 0.250 1
```